Density functional theory data (PBE) for an optimized crystal structure of EuThHgBi.

```
EuThHgBi
1.0
0.0000 3.9200 3.9200
3.9200 0.0000 3.9200
3.9200 3.9200 0.0000
Eu Th Hg Bi
1 1 1 1
direct
0.0000 0.0000 0.0000 Eu
0.5000 0.5000 0.5000 Th
0.2500 0.2500 0.2500 Hg
0.7500 0.7500 0.7500 Bi
```

For the magnetic moment, the calculation gives 7.8 μB per formula unit. Its crystal system is cubic. Its formation energy is -1.612 eV per formula unit. The value obtained for the total energy is -23.49 eV for the cell shown. As for the density: 10.94 Mg/m³.